Computed, not measured: a relaxed structure of ThH4O at the GGA-PBE level of DFT.

Output
Total energy, eV per atom: -4.791

Cell: 4.108 4.108 4.364 Å, 90.00 90.00 120.00°
Fractional coordinates of all 6 atoms:
H (0.333, 0.667, 0.847)
H (0.667, 0.333, 0.153)
H (0.667, 0.333, 0.847)
H (0.333, 0.667, 0.153)
Th (0.000, 0.000, 0.000)
O (0.000, 0.000, 0.500)

Computed, not measured: a relaxed structure of ThHO at the GGA-PBE level of DFT.

Output
Total energy, eV per atom: -7.301

Cell: 3.943 3.943 3.943 Å, 60.00 60.00 60.00°
Fractional coordinates of all 3 atoms:
Th (0.250, 0.250, 0.250)
O (0.500, 0.500, 0.500)
H (0.000, 0.000, 0.000)

Computed, not measured: a relaxed structure of ThHO at the GGA-PBE level of DFT.

Output
Total energy, eV per atom: -7.388

Cell: 3.917 3.917 6.893 Å, 73.49 73.49 60.00°
Fractional coordinates of all 6 atoms:
O (0.874, 0.874, 0.377)
O (0.126, 0.126, 0.623)
H (0.626, 0.626, 0.122)
H (0.374, 0.374, 0.878)
Th (0.250, 0.250, 0.251)
Th (0.750, 0.750, 0.749)

Computed, not measured: a relaxed structure of TiH2O at the GGA-PBE level of DFT.

Output
Total energy, eV per atom: -5.816

Cell: 2.869 2.869 7.861 Å, 79.49 79.49 90.00°
Fractional coordinates of all 8 atoms:
H (0.875, 0.125, 0.250)
H (0.875, 0.125, 0.750)
H (0.375, 0.125, 0.750)
H (0.875, 0.625, 0.250)
Ti (0.750, 0.250, 0.500)
Ti (0.000, 0.000, 0.000)
O (0.500, 0.500, 0.000)
O (0.250, 0.750, 0.500)

- Number 4 is which compound?
  TiH2O

- What is the total energy in the third record?
  -7.388 eV per atom